Record 1
Below is a PBEsol-optimized structure of Ti3Ni20B6, with properties calculated at the meta-GGA SCAN level.

Cell lengths 7.352, 7.352, 7.352 Å; angles 60.00, 60.00, 60.00 degrees
Atoms (fractional coordinates):
Ti1 0.000 0.000 0.000
Ti2 0.250 0.250 0.250
Ti3 0.750 0.750 0.750
Ni1 0.000 0.000 0.342
Ni2 0.000 0.000 0.658
Ni3 0.000 0.342 0.000
Ni4 0.000 0.342 0.658
Ni5 0.000 0.658 0.000
Ni6 0.000 0.658 0.342
Ni7 0.149 0.617 0.617
Ni8 0.342 0.000 0.000
Ni9 0.342 0.000 0.658
Ni10 0.342 0.658 0.000
Ni11 0.383 0.383 0.383
Ni12 0.383 0.383 0.851
Ni13 0.383 0.851 0.383
Ni14 0.617 0.149 0.617
Ni15 0.617 0.617 0.149
Ni16 0.617 0.617 0.617
Ni17 0.658 0.000 0.000
Ni18 0.658 0.000 0.342
Ni19 0.658 0.342 0.000
Ni20 0.851 0.383 0.383
B1 0.268 0.268 0.732
B2 0.268 0.732 0.268
B3 0.268 0.732 0.732
B4 0.732 0.268 0.268
B5 0.732 0.268 0.732
B6 0.732 0.732 0.268

Properties
- symmetry = Fm-3m (225)
- density of states at the Fermi level (states/eV per cell) = 19.889
- calculated formation energy (meV per atom) = -440



Record 2
Below is a PBEsol-optimized structure of TlNi3B, with properties calculated at the meta-GGA SCAN level.

Cell lengths 4.661, 4.661, 4.661 Å; angles 90.00, 90.00, 90.00 degrees
Atoms (fractional coordinates):
Tl1 0.000 0.000 0.000
Ni1 0.000 0.000 0.500
Ni2 0.000 0.500 0.000
Ni3 0.500 0.000 0.000
B1 0.500 0.500 0.500

Properties
- symmetry = Pm-3m (221)
- density of states at the Fermi level (states/eV per cell) = 2.740
- calculated formation energy (meV per atom) = 2250



Record 3
Below is a PBEsol-optimized structure of TmNi4B, with properties calculated at the meta-GGA SCAN level.

Cell lengths 4.863, 4.863, 6.863 Å; angles 90.00, 90.00, 120.00 degrees
Atoms (fractional coordinates):
Tm1 0.000 0.000 0.000
Tm2 0.000 0.000 0.500
Ni1 0.000 0.500 0.210
Ni2 0.000 0.500 0.790
Ni3 0.333 0.667 0.500
Ni4 0.500 0.000 0.210
Ni5 0.500 0.000 0.790
Ni6 0.500 0.500 0.210
Ni7 0.500 0.500 0.790
Ni8 0.667 0.333 0.500
B1 0.333 0.667 0.000
B2 0.667 0.333 0.000

Properties
- symmetry = P6/mmm (191)
- density of states at the Fermi level (states/eV per cell) = 3.638
- calculated formation energy (meV per atom) = -519



Record 4
Below is a PBEsol-optimized structure of Tm2Ni21B6, with properties calculated at the meta-GGA SCAN level.

Cell lengths 7.427, 7.427, 7.427 Å; angles 60.00, 60.00, 60.00 degrees
Atoms (fractional coordinates):
Tm1 0.250 0.250 0.250
Tm2 0.750 0.750 0.750
Ni1 0.000 0.000 0.000
Ni2 0.000 0.000 0.337
Ni3 0.000 0.000 0.663
Ni4 0.000 0.337 0.000
Ni5 0.000 0.337 0.663
Ni6 0.000 0.663 0.000
Ni7 0.000 0.663 0.337
Ni8 0.161 0.613 0.613
Ni9 0.337 0.000 0.000
Ni10 0.337 0.000 0.663
Ni11 0.337 0.663 0.000
Ni12 0.387 0.387 0.387
Ni13 0.387 0.387 0.839
Ni14 0.387 0.839 0.387
Ni15 0.613 0.161 0.613
Ni16 0.613 0.613 0.161
Ni17 0.613 0.613 0.613
Ni18 0.663 0.000 0.000
Ni19 0.663 0.000 0.337
Ni20 0.663 0.337 0.000
Ni21 0.839 0.387 0.387
B1 0.270 0.270 0.730
B2 0.270 0.730 0.270
B3 0.270 0.730 0.730
B4 0.730 0.270 0.270
B5 0.730 0.270 0.730
B6 0.730 0.730 0.270

Properties
- symmetry = Fm-3m (225)
- density of states at the Fermi level (states/eV per cell) = 17.794
- calculated formation energy (meV per atom) = -352



Record 5
Below is a PBEsol-optimized structure of Tm4NiB13, with properties calculated at the meta-GGA SCAN level.

Cell lengths 7.219, 7.219, 6.706 Å; angles 90.00, 90.00, 90.00 degrees
Atoms (fractional coordinates):
Tm1 0.181 0.315 0.000
Tm2 0.185 0.319 0.500
Tm3 0.315 0.819 0.000
Tm4 0.319 0.815 0.500
Tm5 0.681 0.185 0.500
Tm6 0.685 0.181 0.000
Tm7 0.815 0.681 0.500
Tm8 0.819 0.685 0.000
Ni1 0.000 0.000 0.500
Ni2 0.500 0.500 0.000
B1 0.000 0.000 0.000
B2 0.040 0.829 0.243
B3 0.040 0.829 0.757
B4 0.091 0.591 0.250
B5 0.091 0.591 0.750
B6 0.171 0.040 0.243
B7 0.171 0.040 0.757
B8 0.329 0.540 0.257
B9 0.329 0.540 0.743
B10 0.409 0.091 0.250
B11 0.409 0.091 0.750
B12 0.460 0.329 0.257
B13 0.460 0.329 0.743
B14 0.500 0.500 0.500
B15 0.540 0.671 0.257
B16 0.540 0.671 0.743
B17 0.591 0.909 0.250
B18 0.591 0.909 0.750
B19 0.671 0.460 0.257
B20 0.671 0.460 0.743
B21 0.829 0.960 0.243
B22 0.829 0.960 0.757
B23 0.909 0.409 0.250
B24 0.909 0.409 0.750
B25 0.960 0.171 0.243
B26 0.960 0.171 0.757

Properties
- symmetry = P4/mnc (128)
- density of states at the Fermi level (states/eV per cell) = 7.658
- calculated formation energy (meV per atom) = -583



Record 6
Below is a PBEsol-optimized structure of V2Ni21B6, with properties calculated at the meta-GGA SCAN level.

Cell lengths 7.292, 7.292, 7.292 Å; angles 60.00, 60.00, 60.00 degrees
Atoms (fractional coordinates):
V1 0.250 0.250 0.250
V2 0.750 0.750 0.750
Ni1 0.000 0.000 0.000
Ni2 0.000 0.000 0.341
Ni3 0.000 0.000 0.659
Ni4 0.000 0.341 0.000
Ni5 0.000 0.341 0.659
Ni6 0.000 0.659 0.000
Ni7 0.000 0.659 0.341
Ni8 0.144 0.619 0.619
Ni9 0.341 0.000 0.000
Ni10 0.341 0.000 0.659
Ni11 0.341 0.659 0.000
Ni12 0.381 0.381 0.381
Ni13 0.381 0.381 0.856
Ni14 0.381 0.856 0.381
Ni15 0.619 0.144 0.619
Ni16 0.619 0.619 0.144
Ni17 0.619 0.619 0.619
Ni18 0.659 0.000 0.000
Ni19 0.659 0.000 0.341
Ni20 0.659 0.341 0.000
Ni21 0.856 0.381 0.381
B1 0.269 0.269 0.731
B2 0.269 0.731 0.269
B3 0.269 0.731 0.731
B4 0.731 0.269 0.269
B5 0.731 0.269 0.731
B6 0.731 0.731 0.269

Properties
- symmetry = Fm-3m (225)
- density of states at the Fermi level (states/eV per cell) = 21.966
- calculated formation energy (meV per atom) = -271



Record 7
Below is a PBEsol-optimized structure of NiB3W3, with properties calculated at the meta-GGA SCAN level.

Cell lengths 4.481, 4.481, 10.706 Å; angles 90.00, 90.00, 138.36 degrees
Atoms (fractional coordinates):
Ni1 0.000 0.000 0.000
Ni2 0.000 0.000 0.500
B1 0.291 0.709 0.750
B2 0.413 0.587 0.603
B3 0.413 0.587 0.897
B4 0.587 0.413 0.103
B5 0.587 0.413 0.397
B6 0.709 0.291 0.250
W1 0.002 0.998 0.250
W2 0.288 0.712 0.108
W3 0.288 0.712 0.392
W4 0.712 0.288 0.608
W5 0.712 0.288 0.892
W6 0.998 0.002 0.750

Properties
- symmetry = Cmcm (63)
- density of states at the Fermi level (states/eV per cell) = 3.677
- calculated formation energy (meV per atom) = -383



Record 8
Below is a PBEsol-optimized structure of Y3Ni19B10, with properties calculated at the meta-GGA SCAN level.

Cell lengths 7.806, 7.806, 5.707 Å; angles 91.21, 91.21, 67.06 degrees
Atoms (fractional coordinates):
Y1 0.000 0.000 0.000
Y2 0.374 0.374 0.613
Y3 0.626 0.626 0.387
Ni1 0.000 0.000 0.500
Ni2 0.045 0.517 0.302
Ni3 0.122 0.623 0.926
Ni4 0.162 0.162 0.702
Ni5 0.183 0.183 0.270
Ni6 0.228 0.712 0.301
Ni7 0.288 0.772 0.699
Ni8 0.377 0.878 0.074
Ni9 0.378 0.378 0.126
Ni10 0.483 0.955 0.698
Ni11 0.517 0.045 0.302
Ni12 0.622 0.622 0.874
Ni13 0.623 0.122 0.926
Ni14 0.712 0.228 0.301
Ni15 0.772 0.288 0.699
Ni16 0.817 0.817 0.730
Ni17 0.838 0.838 0.298
Ni18 0.878 0.377 0.074
Ni19 0.955 0.483 0.698
B1 0.064 0.700 0.570
B2 0.141 0.351 0.974
B3 0.300 0.936 0.430
B4 0.351 0.141 0.974
B5 0.384 0.616 0.000
B6 0.616 0.384 0.000
B7 0.649 0.859 0.026
B8 0.700 0.064 0.570
B9 0.859 0.649 0.026
B10 0.936 0.300 0.430

Properties
- symmetry = C2/m (12)
- density of states at the Fermi level (states/eV per cell) = 15.809
- calculated formation energy (meV per atom) = -449



Record 9
Below is a PBEsol-optimized structure of YNi12B6, with properties calculated at the meta-GGA SCAN level.

Cell lengths 5.957, 5.957, 10.849 Å; angles 90.00, 90.00, 75.30 degrees
Atoms (fractional coordinates):
Y1 0.167 0.833 0.500
Y2 0.833 0.167 0.000
Ni1 0.003 0.631 0.941
Ni2 0.119 0.144 0.758
Ni3 0.144 0.119 0.258
Ni4 0.196 0.544 0.738
Ni5 0.211 0.527 0.280
Ni6 0.217 0.783 0.102
Ni7 0.270 0.342 0.072
Ni8 0.342 0.270 0.572
Ni9 0.369 0.997 0.941
Ni10 0.435 0.565 0.923
Ni11 0.456 0.804 0.738
Ni12 0.473 0.789 0.280
Ni13 0.527 0.211 0.780
Ni14 0.544 0.196 0.238
Ni15 0.565 0.435 0.423
Ni16 0.631 0.003 0.441
Ni17 0.658 0.730 0.072
Ni18 0.730 0.658 0.572
Ni19 0.783 0.217 0.602
Ni20 0.789 0.473 0.780
Ni21 0.804 0.456 0.238
Ni22 0.856 0.881 0.758
Ni23 0.881 0.856 0.258
Ni24 0.997 0.369 0.441
B1 0.012 0.403 0.627
B2 0.164 0.836 0.844
B3 0.239 0.327 0.888
B4 0.327 0.239 0.388
B5 0.403 0.012 0.127
B6 0.487 0.513 0.158
B7 0.513 0.487 0.658
B8 0.597 0.988 0.627
B9 0.673 0.761 0.888
B10 0.761 0.673 0.388
B11 0.836 0.164 0.344
B12 0.988 0.597 0.127

Properties
- symmetry = Cmc2_1 (36)
- density of states at the Fermi level (states/eV per cell) = 15.866
- calculated formation energy (meV per atom) = -415



Record 10
Below is a PBEsol-optimized structure of YNi2B2, with properties calculated at the meta-GGA SCAN level.

Cell lengths 4.920, 4.920, 6.786 Å; angles 120.73, 120.73, 64.17 degrees
Atoms (fractional coordinates):
Y1 0.118 0.882 0.750
Y2 0.882 0.118 0.250
Ni1 0.279 0.468 0.299
Ni2 0.468 0.279 0.799
Ni3 0.532 0.721 0.201
Ni4 0.721 0.532 0.701
B1 0.156 0.505 0.975
B2 0.495 0.844 0.525
B3 0.505 0.156 0.475
B4 0.844 0.495 0.025

Properties
- symmetry = C2/c (15)
- density of states at the Fermi level (states/eV per cell) = 4.435
- calculated formation energy (meV per atom) = -612



Record 11
Below is a PBEsol-optimized structure of Zn3Ni20B6, with properties calculated at the meta-GGA SCAN level.

Cell lengths 7.329, 7.329, 7.329 Å; angles 60.00, 60.00, 60.00 degrees
Atoms (fractional coordinates):
Zn1 0.000 0.000 0.000
Zn2 0.250 0.250 0.250
Zn3 0.750 0.750 0.750
Ni1 0.000 0.000 0.338
Ni2 0.000 0.000 0.662
Ni3 0.000 0.338 0.000
Ni4 0.000 0.338 0.662
Ni5 0.000 0.662 0.000
Ni6 0.000 0.662 0.338
Ni7 0.149 0.617 0.617
Ni8 0.338 0.000 0.000
Ni9 0.338 0.000 0.662
Ni10 0.338 0.662 0.000
Ni11 0.383 0.383 0.383
Ni12 0.383 0.383 0.851
Ni13 0.383 0.851 0.383
Ni14 0.617 0.149 0.617
Ni15 0.617 0.617 0.149
Ni16 0.617 0.617 0.617
Ni17 0.662 0.000 0.000
Ni18 0.662 0.000 0.338
Ni19 0.662 0.338 0.000
Ni20 0.851 0.383 0.383
B1 0.274 0.274 0.726
B2 0.274 0.726 0.274
B3 0.274 0.726 0.726
B4 0.726 0.274 0.274
B5 0.726 0.274 0.726
B6 0.726 0.726 0.274

Properties
- symmetry = Fm-3m (225)
- density of states at the Fermi level (states/eV per cell) = 21.418
- calculated formation energy (meV per atom) = -264



Record 12
Below is a PBEsol-optimized structure of Zn2Ni21B20, with properties calculated at the meta-GGA SCAN level.

Cell lengths 8.669, 8.669, 8.669 Å; angles 131.51, 131.51, 71.00 degrees
Atoms (fractional coordinates):
Zn1 0.190 0.190 0.000
Zn2 0.810 0.810 0.000
Ni1 0.000 0.000 0.000
Ni2 0.000 0.000 0.500
Ni3 0.000 0.500 0.000
Ni4 0.101 0.401 0.299
Ni5 0.101 0.802 0.701
Ni6 0.198 0.899 0.299
Ni7 0.239 0.500 0.739
Ni8 0.250 0.750 0.500
Ni9 0.362 0.362 0.000
Ni10 0.401 0.101 0.299
Ni11 0.500 0.000 0.000
Ni12 0.500 0.239 0.739
Ni13 0.500 0.500 0.500
Ni14 0.500 0.761 0.261
Ni15 0.599 0.899 0.701
Ni16 0.638 0.638 0.000
Ni17 0.750 0.250 0.500
Ni18 0.761 0.500 0.261
Ni19 0.802 0.101 0.701
Ni20 0.899 0.198 0.299
Ni21 0.899 0.599 0.701
B1 0.045 0.345 0.700
B2 0.188 0.188 0.587
B3 0.188 0.601 0.000
B4 0.201 0.201 0.402
B5 0.201 0.799 0.000
B6 0.345 0.045 0.700
B7 0.345 0.645 0.300
B8 0.355 0.655 0.700
B9 0.399 0.399 0.587
B10 0.399 0.812 0.000
B11 0.601 0.188 0.000
B12 0.601 0.601 0.413
B13 0.645 0.345 0.300
B14 0.655 0.355 0.700
B15 0.655 0.955 0.300
B16 0.799 0.201 0.000
B17 0.799 0.799 0.598
B18 0.812 0.399 0.000
B19 0.812 0.812 0.413
B20 0.955 0.655 0.300

Properties
- symmetry = I4/mmm (139)
- density of states at the Fermi level (states/eV per cell) = 13.911
- calculated formation energy (meV per atom) = -259



> The lowest density of states at the Fermi level belongs to which entry?

TlNi3B



> Among the records above, which one has the lowest calculated formation energy?

YNi2B2



> Which of these has the lowest density of states at the Fermi level?

TlNi3B



> Number 4 is which compound?

Tm2Ni21B6